Here is a relaxed structure of LiY2Ni2 from Alexandria via LeMat-Bulk. Energies are from PBE.

```
LiY2Ni2
1.0
-0.813 2.545 -2.510
-3.779 0.091 1.316
3.618 5.052 3.951
Li Y Ni
1 2 2
direct
0.000 0.000 0.000
0.500 0.641 0.282
0.500 0.359 0.718
0.000 0.200 0.399
0.000 0.800 0.601
```

Properties
DOS(E_F)   3.555 states/eV per cell
Space group   No. 65
Distance to the lowest polymorph of the same formula   7 meV per atom
Formation energy from the elements   -0.287 eV/atom



Here is a relaxed structure of LaNd8Sc3 from Alexandria via LeMat-Bulk. Energies are from PBE.

```
LaNd8Sc3
1.0
4.529 0.671 -2.188
0.731 7.716 -2.022
-0.445 1.265 11.239
La Nd Sc
1 8 3
direct
0.537 0.651 0.614
0.289 0.662 0.870
0.619 0.999 0.870
0.955 0.330 0.872
0.127 0.002 0.379
0.863 0.006 0.617
0.053 0.662 0.135
0.718 0.336 0.137
0.382 0.999 0.133
0.194 0.332 0.612
0.459 0.337 0.379
0.801 0.653 0.379
```

Properties
DOS(E_F)   18.371 states/eV per cell
Space group   No. 1
Formation energy from the elements   0.050 eV/atom



Which value of formation energy from the elements does entry 2 give? 0.050 eV/atom



Among the records above, which one has the lowest formation energy from the elements? LiY2Ni2